No. 1
Here is a geometry-optimized NaZn2In structure from Alexandria. Energies are from PBE-GGA.

The structure in POSCAR format:
```
NaZn2In
1.0
4.7540 0.0000 0.0000
-2.3770 5.5391 0.0000
0.0000 0.0000 6.6268
In Zn Na
2 4 2
Direct
0.7905 0.5810 0.7500
0.2095 0.4190 0.2500
0.6110 0.2220 0.4449
0.3890 0.7780 0.9449
0.3890 0.7780 0.5551
0.6110 0.2220 0.0551
0.9182 0.8364 0.2500
0.0818 0.1636 0.7500
```

Summary:
DOS at the Fermi energy	2.6	states/eV per cell
volume	174.50	Å³ per cell
calculated total energy	-0.061	Ha/atom
energy of formation	-0.021	eV per atom



No. 2
Here is a geometry-optimized Na3ZnIn structure from Alexandria. Energies are from PBE-GGA.

The structure in POSCAR format:
```
Na3ZnIn
1.0
-0.7641 -0.2863 5.9174
3.6994 -4.6832 0.2511
4.6273 3.6969 0.7764
Zn Na In
1 3 1
Direct
0.5000 0.5000 0.5000
0.5000 0.0000 0.0000
0.0000 0.0000 0.5000
0.0000 0.5000 0.0000
0.0000 0.0000 0.0000
```

Summary:
DOS at the Fermi energy	3.0	states/eV per cell
volume	213.14	Å³ per cell
calculated total energy	-0.046	Ha/atom
energy of formation	0.337	eV per atom



No. 3
Here is a geometry-optimized NaZn3In9 structure from Alexandria. Energies are from PBE-GGA.

The structure in POSCAR format:
```
NaZn3In9
1.0
-0.9682 3.3387 4.5806
5.3931 -1.9547 4.7834
4.1912 7.1722 -0.7324
In Zn Na
9 3 1
Direct
0.0258 0.3400 0.6404
0.4913 0.7911 0.2149
0.3338 0.6600 0.6404
0.5087 0.2089 0.7851
0.2938 0.2089 0.2149
0.7062 0.7911 0.7851
0.9742 0.6600 0.3596
0.0000 0.5000 0.0000
0.6662 0.3400 0.3596
0.5000 0.0000 0.5000
0.5000 0.5000 0.0000
0.0000 0.0000 0.5000
0.0000 0.0000 0.0000
```

Summary:
DOS at the Fermi energy	5.8	states/eV per cell
volume	326.66	Å³ per cell
calculated total energy	-0.083	Ha/atom
energy of formation	0.036	eV per atom



No. 4
Here is a geometry-optimized NaZn2In structure from Alexandria. Energies are from PBE-GGA.

The structure in POSCAR format:
```
NaZn2In
1.0
-0.8249 -2.6339 -3.5367
-3.7953 -1.2479 4.6852
-4.9673 5.1255 -2.6586
Na In Zn
2 2 4
Direct
0.5656 0.1302 0.2500
0.4344 0.8698 0.7500
0.8626 0.7250 0.2500
0.1374 0.2750 0.7500
0.7533 0.5057 0.5826
0.7533 0.5057 0.9174
0.2467 0.4943 0.0826
0.2467 0.4943 0.4174
```

Summary:
DOS at the Fermi energy	2.7	states/eV per cell
volume	195.67	Å³ per cell
calculated total energy	-0.060	Ha/atom
energy of formation	0.016	eV per atom